Model i:
4
Lattice="1.535 1.939 4.319 2.417 4.350 0.056 -2.222 4.058 1.835" Properties=species:S:1:pos:R:3 comment="PBE-GGA MgCd2Ge, relaxed" dos_ef_per_ev_cell=2.35 mass_density_g_cm3=6.1 pbc="T T T"
Ge 0.865 5.173 3.105
Mg 0.000 0.000 0.000
Cd 0.433 2.587 1.553
Cd 1.298 7.760 4.658

Model ii:
4
Lattice="-3.250 -0.880 3.103 -1.602 -3.068 -2.548 2.569 -2.894 1.870" Properties=species:S:1:pos:R:3 comment="PBE-GGA MgCd2Ge, relaxed" dos_ef_per_ev_cell=1.84 mass_density_g_cm3=6.3 pbc="T T T"
Ge -1.625 -0.440 1.552
Mg -1.141 -3.421 1.213
Cd 1.285 -1.447 0.935
Cd -0.801 -1.534 -1.274

Which structure is the least stable? The one labeled model i.

Model i:
5
Lattice="-3.864 -2.151 0.481 2.030 -3.094 2.469 -2.048 0.489 6.306" Properties=species:S:1:pos:R:3 comment="PBE-GGA MgCd2Ge2, relaxed" dos_ef_per_ev_cell=2.01 mass_density_g_cm3=5.7 pbc="T T T"
Ge -1.154 -1.972 2.486
Ge -2.728 -2.785 6.770
Mg 0.000 0.000 0.000
Cd -3.415 -2.142 4.131
Cd -0.467 -2.614 5.125

Model ii:
10
Lattice="7.137 0.000 0.000 0.000 7.137 0.000 0.000 0.000 4.309" Properties=species:S:1:pos:R:3 comment="PBE-GGA MgCd2Ge2, relaxed" dos_ef_per_ev_cell=4.02 mass_density_g_cm3=6.0 pbc="T T T"
Ge 2.665 6.233 0.000
Ge 6.233 4.472 0.000
Ge 4.472 0.903 0.000
Ge 0.903 2.665 0.000
Mg 0.000 0.000 0.000
Mg 3.568 3.568 0.000
Cd 1.291 4.859 2.155
Cd 4.859 5.846 2.155
Cd 5.846 2.278 2.155
Cd 2.278 1.291 2.155

Which structure is the least stable? The one labeled model i.

Model i:
10
Lattice="7.814 0.000 0.000 0.000 7.814 0.000 0.000 0.000 3.632" Properties=species:S:1:pos:R:3 comment="PBE-GGA MgCd2Ge2, relaxed" dos_ef_per_ev_cell=6.23 mass_density_g_cm3=5.9 pbc="T T T"
Ge 1.372 5.280 1.816
Ge 5.280 6.442 1.816
Ge 6.442 2.535 1.816
Ge 2.535 1.372 1.816
Mg 0.000 0.000 0.000
Mg 3.907 3.907 0.000
Cd 2.893 6.800 0.000
Cd 6.800 4.922 0.000
Cd 4.922 1.014 0.000
Cd 1.014 2.893 0.000

Model ii:
5
Lattice="3.813 0.000 0.000 0.000 3.813 0.000 1.907 1.907 7.766" Properties=species:S:1:pos:R:3 comment="PBE-GGA MgCd2Ge2, relaxed" dos_ef_per_ev_cell=1.87 mass_density_g_cm3=5.8 pbc="T T T"
Ge 3.813 1.907 3.883
Ge 1.907 3.813 3.883
Mg 0.000 0.000 0.000
Cd 1.907 1.907 1.513
Cd 3.813 3.813 6.253

Which structure is the least stable? The one labeled model i.

Model i:
10
Lattice="8.312 0.000 0.000 0.000 8.312 0.000 0.000 0.000 3.004" Properties=species:S:1:pos:R:3 comment="PBE-GGA Mg2CdGe2, relaxed" dos_ef_per_ev_cell=3.26 mass_density_g_cm3=4.9 pbc="T T T"
Ge 2.859 7.015 0.000
Ge 7.015 5.453 0.000
Ge 5.453 1.297 0.000
Ge 1.297 2.859 0.000
Mg 1.174 5.330 1.502
Mg 5.330 7.138 1.502
Mg 7.138 2.982 1.502
Mg 2.982 1.174 1.502
Cd 0.000 0.000 0.000
Cd 4.156 4.156 0.000

Model ii:
5
Lattice="-3.502 0.907 -2.640 -0.317 -4.337 -1.069 -5.348 -2.520 2.431" Properties=species:S:1:pos:R:3 comment="PBE-GGA Mg2CdGe2, relaxed" dos_ef_per_ev_cell=2.09 mass_density_g_cm3=4.6 pbc="T T T"
Ge -2.660 -1.891 -0.920
Ge -6.508 -4.060 -0.358
Mg -5.380 -1.664 -1.031
Mg -3.788 -4.287 -0.246
Cd 0.000 0.000 0.000

Which structure is the least stable? The one labeled model ii.

Model i:
4
Lattice="-1.781 -3.954 -1.214 -4.018 -1.247 1.605 -3.578 -0.114 -2.731" Properties=species:S:1:pos:R:3 comment="PBE-GGA Mn2CdGe, relaxed" dos_ef_per_ev_cell=3.67 mass_density_g_cm3=7.6 pbc="T T T"
Ge 0.000 0.000 0.000
Mn -2.345 -1.329 -0.585
Mn -7.034 -3.986 -1.755
Cd -4.689 -2.657 -1.170

Model ii:
8
Lattice="3.849 0.000 0.000 0.000 3.849 0.000 1.925 1.925 8.846" Properties=species:S:1:pos:R:3 comment="PBE-GGA Mn2CdGe, relaxed" dos_ef_per_ev_cell=7.99 mass_density_g_cm3=7.5 pbc="T T T"
Ge 1.925 1.925 0.000
Ge 1.925 3.849 4.423
Mn 2.450 0.962 2.212
Mn 1.400 2.887 2.212
Mn 2.887 3.324 6.635
Mn 4.812 4.374 6.635
Cd 0.000 0.000 0.000
Cd 3.849 1.925 4.423

Which structure is the least stable? The one labeled model ii.

Model i:
10
Lattice="7.640 0.000 0.000 0.000 7.640 0.000 0.000 0.000 3.472" Properties=species:S:1:pos:R:3 comment="PBE-GGA Cd2Ge2Mo, relaxed" dos_ef_per_ev_cell=5.97 mass_density_g_cm3=7.6 pbc="T T T"
Mo 0.000 0.000 0.000
Mo 3.820 3.820 0.000
Ge 1.336 5.156 1.736
Ge 5.156 6.304 1.736
Ge 6.304 2.484 1.736
Ge 2.484 1.336 1.736
Cd 2.820 6.640 0.000
Cd 6.640 4.820 0.000
Cd 4.820 1.000 0.000
Cd 1.000 2.820 0.000

Model ii:
10
Lattice="-6.125 -1.130 2.874 2.937 -0.161 6.197 -0.566 4.013 0.372" Properties=species:S:1:pos:R:3 comment="PBE-GGA Cd2Ge2Mo, relaxed" dos_ef_per_ev_cell=3.78 mass_density_g_cm3=8.1 pbc="T T T"
Mo 0.000 0.000 0.000
Mo -1.594 -0.645 4.535
Ge 0.347 -0.534 6.288
Ge -3.313 -1.066 6.465
Ge -3.536 -0.756 2.782
Ge 0.124 -0.224 2.606
Cd 0.668 1.717 4.757
Cd -1.880 1.124 7.281
Cd -4.422 1.006 4.686
Cd -1.874 1.599 2.162

Model iii:
5
Lattice="-2.751 -1.092 -2.046 1.715 -3.096 -0.653 -4.089 -5.463 5.249" Properties=species:S:1:pos:R:3 comment="PBE-GGA Cd2Ge2Mo, relaxed" dos_ef_per_ev_cell=3.24 mass_density_g_cm3=7.3 pbc="T T T"
Mo 0.000 0.000 0.000
Ge -3.679 -4.325 0.927
Ge -1.446 -5.326 1.623
Cd -1.196 -2.734 -0.096
Cd -3.929 -6.917 2.646

Which structure is the least stable? The one labeled model i.

Model i:
5
Lattice="-0.075 4.326 1.688 -2.313 1.429 -3.765 -4.027 -0.902 2.132" Properties=species:S:1:pos:R:3 comment="PBE-GGA CdGeMo3, relaxed" dos_ef_per_ev_cell=5.61 mass_density_g_cm3=7.8 pbc="T T T"
Mo -1.157 0.714 -1.883
Mo -2.013 -0.451 1.066
Mo -0.038 2.163 0.844
Ge 0.000 0.000 0.000
Cd -3.208 2.427 0.027

Model ii:
5
Lattice="4.861 0.000 0.000 0.000 4.861 0.000 0.000 0.000 4.861" Properties=species:S:1:pos:R:3 comment="PBE-GGA CdGeMo3, relaxed" dos_ef_per_ev_cell=7.42 mass_density_g_cm3=6.8 pbc="T T T"
Mo 0.000 2.431 0.000
Mo 0.000 0.000 2.431
Mo 2.431 0.000 0.000
Ge 2.431 2.431 2.431
Cd 0.000 0.000 0.000

Which structure is the least stable? The one labeled model ii.

Model i:
5
Lattice="5.241 0.000 0.000 0.000 5.241 0.000 0.000 0.000 5.241" Properties=species:S:1:pos:R:3 comment="PBE-GGA Cd3GeMo, relaxed" dos_ef_per_ev_cell=2.82 mass_density_g_cm3=5.8 pbc="T T T"
Mo 0.000 0.000 0.000
Ge 2.620 2.620 2.620
Cd 0.000 2.620 0.000
Cd 0.000 0.000 2.620
Cd 2.620 0.000 0.000

Model ii:
5
Lattice="5.150 0.000 0.000 0.000 5.150 0.000 0.000 0.000 5.150" Properties=species:S:1:pos:R:3 comment="PBE-GGA Cd3GeMo, relaxed" dos_ef_per_ev_cell=2.76 mass_density_g_cm3=6.1 pbc="T T T"
Mo 2.575 2.575 2.575
Ge 0.000 0.000 0.000
Cd 0.000 2.575 0.000
Cd 0.000 0.000 2.575
Cd 2.575 0.000 0.000

Which structure is the least stable? The one labeled model i.

Model i:
5
Lattice="-4.734 -0.428 -0.609 0.630 -0.246 -4.726 0.392 -4.767 0.300" Properties=species:S:1:pos:R:3 comment="PBE-GGA CdGeMo2P, relaxed" dos_ef_per_ev_cell=4.11 mass_density_g_cm3=6.2 pbc="T T T"
P -1.856 -2.720 -2.517
Mo 0.196 -2.383 0.150
Mo -2.367 -0.214 -0.304
Ge 0.000 0.000 0.000
Cd 0.315 -0.123 -2.363

Model ii:
5
Lattice="-3.786 0.160 3.517 0.651 -4.469 0.904 3.444 1.240 3.652" Properties=species:S:1:pos:R:3 comment="PBE-GGA CdGeMo2P, relaxed" dos_ef_per_ev_cell=5.45 mass_density_g_cm3=5.5 pbc="T T T"
P 0.325 -2.234 0.452
Mo 1.722 0.620 1.826
Mo -1.893 0.080 1.759
Ge 0.154 -1.534 4.036
Cd 0.000 0.000 0.000

Which structure is the least stable? The one labeled model ii.

Model i:
5
Lattice="-2.355 0.940 -4.200 1.166 -4.469 -1.654 -3.108 -1.344 1.442" Properties=species:S:1:pos:R:3 comment="PBE-GGA CdGeS2N, relaxed" dos_ef_per_ev_cell=2.86 mass_density_g_cm3=4.9 pbc="T T T"
Ge 0.000 0.000 0.000
N -1.554 -0.672 0.721
S 0.583 -2.235 -0.827
S -1.177 0.470 -2.100
Cd -2.149 -2.437 -2.206

Model ii:
5
Lattice="5.086 0.000 0.000 0.000 5.086 0.000 0.000 0.000 4.163" Properties=species:S:1:pos:R:3 comment="PBE-GGA CdGeS2N, relaxed" dos_ef_per_ev_cell=0.96 mass_density_g_cm3=4.1 pbc="T T T"
Ge 2.543 2.543 2.082
N 0.000 0.000 2.082
S 0.000 2.543 0.000
S 2.543 0.000 0.000
Cd 0.000 0.000 0.000

Which structure is the least stable? The one labeled model ii.

Model i:
5
Lattice="-4.560 -1.426 3.170 3.443 -2.579 3.792 0.350 3.560 2.104" Properties=species:S:1:pos:R:3 comment="PBE-GGA CdGeTe2N, relaxed" dos_ef_per_ev_cell=3.08 mass_density_g_cm3=5.5 pbc="T T T"
N 0.175 1.780 1.052
Ge -0.384 -0.222 4.533
Te 1.721 -1.289 1.896
Te -2.280 -0.713 1.585
Cd 0.000 0.000 0.000

Model ii:
5
Lattice="-4.675 3.380 0.653 -0.889 -2.249 5.278 2.018 2.518 1.413" Properties=species:S:1:pos:R:3 comment="PBE-GGA CdGeTe2N, relaxed" dos_ef_per_ev_cell=1.62 mass_density_g_cm3=6.4 pbc="T T T"
N 1.009 1.259 0.706
Ge 0.000 0.000 0.000
Te -0.444 -1.124 2.639
Te -2.338 1.690 0.326
Cd -1.773 1.825 3.672

Which structure is the least stable? The one labeled model i.

Model i:
10
Lattice="5.792 0.000 0.678 0.000 6.012 0.000 0.828 0.000 6.857" Properties=species:S:1:pos:R:3 comment="PBE-GGA NaCd3Ge, relaxed" dos_ef_per_ev_cell=3.51 mass_density_g_cm3=6.1 pbc="T T T"
Na 4.088 4.509 2.705
Na 2.533 1.503 4.830
Cd 5.327 5.984 6.457
Cd 1.294 0.028 1.079
Cd 5.327 3.034 6.457
Cd 1.294 2.978 1.079
Cd 1.053 4.509 3.650
Cd 5.567 1.503 3.885
Ge 2.825 4.509 5.751
Ge 3.796 1.503 1.785

Model ii:
5
Lattice="5.281 0.000 0.000 0.000 5.281 0.000 0.000 0.000 5.281" Properties=species:S:1:pos:R:3 comment="PBE-GGA NaCd3Ge, relaxed" dos_ef_per_ev_cell=3.46 mass_density_g_cm3=4.9 pbc="T T T"
Na 0.000 0.000 0.000
Ge 2.640 2.640 2.640
Cd 0.000 2.640 0.000
Cd 0.000 0.000 2.640
Cd 2.640 0.000 0.000

Model iii:
5
Lattice="-0.393 -1.030 5.277 0.235 -5.289 -1.015 5.371 0.156 0.431" Properties=species:S:1:pos:R:3 comment="PBE-GGA NaCd3Ge, relaxed" dos_ef_per_ev_cell=4.34 mass_density_g_cm3=4.6 pbc="T T T"
Na 2.607 -3.082 2.346
Ge 0.000 0.000 0.000
Cd 0.118 -2.645 -0.507
Cd 2.686 0.078 0.215
Cd -0.197 -0.515 2.638

Which structure is the least stable? The one labeled model ii.